<P>
Mg2ScO2, optimized geometry, DFT GGA-PBE; DOS at the Fermi energy = 2.1 states/eV/cell
1.0
-6.087 0.170 0.113
-0.185 -3.182 -5.190
-0.058 -3.484 2.139
Sc Mg O
2 4 4
direct
0.000 0.000 0.000
0.500 0.500 0.000
0.180 0.680 0.500
0.680 0.820 0.500
0.820 0.320 0.500
0.320 0.180 0.500
0.220 0.720 0.000
0.720 0.780 0.000
0.780 0.280 0.000
0.280 0.220 0.000

<Q>
Mg2ScO2, optimized geometry, DFT GGA-PBE; DOS at the Fermi energy = 1.3 states/eV/cell
1.0
3.986 0.000 0.000
0.000 3.986 0.000
1.993 1.993 5.277
Sc Mg O
1 2 2
direct
0.000 0.000 0.000
0.750 0.250 0.500
0.250 0.750 0.500
0.198 0.198 0.604
0.802 0.802 0.396

Most stable structure among those shown: <Q>.